1.
Below is a geometry-optimized KAl2P2H4O11 structure, with properties calculated at the PBE level.

Cell lengths 9.342, 9.684, 9.964 Å; angles 90.00, 90.00, 90.00 degrees
Positions (direct):
K 0.237 0.050 0.151
K 0.263 0.950 0.651
K 0.737 0.450 0.849
K 0.763 0.550 0.349
Al 0.093 0.261 0.850
Al 0.141 0.494 0.308
Al 0.359 0.506 0.808
Al 0.407 0.739 0.350
Al 0.593 0.239 0.150
Al 0.641 0.006 0.692
Al 0.859 0.994 0.192
Al 0.907 0.761 0.650
P 0.076 0.469 0.626
P 0.078 0.803 0.367
P 0.422 0.197 0.867
P 0.424 0.531 0.126
P 0.576 0.031 0.374
P 0.578 0.697 0.633
P 0.922 0.303 0.133
P 0.924 0.969 0.874
H 0.038 0.087 0.439
H 0.059 0.196 0.557
H 0.169 0.694 0.826
H 0.185 0.242 0.391
H 0.315 0.758 0.891
H 0.331 0.306 0.326
H 0.441 0.804 0.057
H 0.462 0.913 0.939
H 0.538 0.413 0.561
H 0.559 0.304 0.443
H 0.669 0.806 0.174
H 0.685 0.258 0.609
H 0.815 0.742 0.109
H 0.831 0.194 0.674
H 0.941 0.696 0.943
H 0.962 0.587 0.061
O 0.005 0.090 0.808
O 0.009 0.926 0.294
O 0.022 0.328 0.688
O 0.026 0.796 0.513
O 0.049 0.668 0.292
O 0.050 0.461 0.474
O 0.110 0.137 0.492
O 0.189 0.431 0.872
O 0.226 0.305 0.318
O 0.240 0.478 0.652
O 0.242 0.837 0.373
O 0.258 0.163 0.873
O 0.260 0.522 0.152
O 0.274 0.695 0.818
O 0.311 0.569 0.372
O 0.390 0.863 0.992
O 0.450 0.539 0.974
O 0.451 0.332 0.792
O 0.474 0.204 0.013
O 0.478 0.672 0.188
O 0.491 0.074 0.794
O 0.495 0.910 0.308
O 0.505 0.410 0.192
O 0.509 0.574 0.706
O 0.522 0.172 0.312
O 0.526 0.704 0.487
O 0.549 0.832 0.708
O 0.550 0.039 0.526
O 0.610 0.363 0.508
O 0.689 0.069 0.128
O 0.726 0.195 0.682
O 0.740 0.022 0.348
O 0.742 0.663 0.627
O 0.758 0.337 0.127
O 0.760 0.978 0.848
O 0.774 0.805 0.182
O 0.811 0.931 0.628
O 0.890 0.637 0.008
O 0.950 0.961 0.026
O 0.951 0.168 0.208
O 0.974 0.296 0.987
O 0.978 0.828 0.812
O 0.991 0.426 0.206
O 0.995 0.590 0.692

Computed properties:
Total moment in μB/atom: 0.0518
Energy in eV per atom: -6.38
Symmetry: P2_12_12_1 (19)
Theoretical density in kg/m³: 2469

---

2.
Below is a geometry-optimized CsTaOF2 structure, with properties calculated at the PBE level.

Cell lengths 4.532, 4.532, 4.053 Å; angles 90.00, 90.00, 90.00 degrees
Positions (direct):
Cs 0.000 0.000 0.000
Ta 0.500 0.500 0.500
O 0.500 0.500 0.000
F 0.000 0.500 0.500
F 0.500 0.000 0.500

Computed properties:
Total moment in μB/atom: 0.3904
Energy relative to the elements, uncorrected in eV per atom: -2.170
Energy in eV per atom: -6.45
Symmetry: P4/mmm (123)
Theoretical density in kg/m³: 7337

---

3.
Below is a geometry-optimized BaWAu structure, with properties calculated at the PBE level.

Cell lengths 5.125, 5.125, 3.160 Å; angles 90.00, 90.00, 120.00 degrees
Positions (direct):
Ba 0.000 0.000 0.000
W 0.667 0.333 0.500
Au 0.333 0.667 0.500

Computed properties:
Total moment in μB/atom: 0.0000
Relative energy among the computed polymorphs in eV per atom: 0.311
Energy in eV per atom: -4.98
Symmetry: P-6m2 (187)
Theoretical density in kg/m³: 11970
Calculated formation energy in eV/atom: 1.07

---

4.
Below is a geometry-optimized YHo2Sn9 structure, with properties calculated at the PBE level.

Cell lengths 4.791, 4.791, 13.672 Å; angles 90.00, 90.00, 90.00 degrees
Positions (direct):
Y 0.000 0.000 0.000
Ho 0.000 0.000 0.334
Ho 0.000 0.000 0.666
Sn 0.000 0.500 0.168
Sn 0.000 0.500 0.500
Sn 0.000 0.500 0.832
Sn 0.500 0.000 0.168
Sn 0.500 0.000 0.500
Sn 0.500 0.000 0.832
Sn 0.500 0.500 0.000
Sn 0.500 0.500 0.334
Sn 0.500 0.500 0.666

Computed properties:
Total moment in μB/atom: 0.0000
Energy in eV per atom: -4.72
Symmetry: P4/mmm (123)
Theoretical density in kg/m³: 7869
Calculated formation energy in eV/atom: -0.41